No. 1
MgSc3Ru2 (meta-GGA SCAN, PBEsol geometry); symmetry = P4/mmm; formation energy = -3.326 eV/f.u.
1.0
-2.889 -1.110 -0.835
0.975 -2.993 0.603
-3.322 0.973 10.202
Mg Sc Ru
1 3 2
Cartesian
-2.618 -1.565 4.985 Mg
0.000 0.000 0.000 Sc
-2.375 0.696 7.294 Sc
-0.947 0.277 2.908 Sc
-1.460 -1.904 1.430 Ru
-3.775 -1.225 8.541 Ru



No. 2
TcIrRh2 (meta-GGA SCAN, PBEsol geometry); distance to the lowest polymorph of the same formula = 45 meV/atom; symmetry = I4/mmm; formation energy = -0.365 eV/f.u.
1.0
-0.275 3.669 -0.850
-3.764 -0.297 -0.063
1.889 -0.831 4.191
Rh Ir Tc
2 1 1
Cartesian
-0.203 2.262 1.442 Rh
-1.947 0.279 1.835 Rh
0.000 0.000 0.000 Ir
-2.020 1.686 -0.456 Tc



No. 3
Zr2CoAs (meta-GGA SCAN, PBEsol geometry); symmetry = Amm2; formation energy = -3.296 eV/f.u.
1.0
3.624 0.000 0.000
0.000 3.781 0.000
-1.812 0.000 4.954
Co Zr As
1 2 1
Cartesian
1.812 1.891 0.411 Co
0.000 1.891 2.690 Zr
1.812 0.000 4.756 Zr
1.812 0.000 1.950 As



No. 4
MgIn2P (meta-GGA SCAN, PBEsol geometry); distance to the lowest polymorph of the same formula = 0 meV/atom; symmetry = R3m; formation energy = -0.678 eV/f.u.
1.0
3.816 0.000 0.000
1.908 3.305 0.000
1.908 1.102 7.360
In Mg P
2 1 1
Cartesian
5.724 3.305 0.407 In
5.724 3.305 5.508 In
3.816 2.203 3.240 Mg
1.908 1.102 1.884 P



No. 5
OsRh2Au (meta-GGA SCAN, PBEsol geometry); distance to the lowest polymorph of the same formula = 0 meV/atom; symmetry = P4/mmm; formation energy = 0.214 eV/f.u.
1.0
-0.011 -2.571 -0.899
2.241 -0.520 1.459
-4.417 -2.092 6.039
Rh Au Os
2 1 1
Cartesian
-1.184 -0.561 1.619 Rh
-3.233 -1.531 4.420 Rh
1.115 -1.545 0.280 Au
-1.093 -2.592 3.299 Os



No. 6
CsGe2OsO (meta-GGA SCAN, PBEsol geometry); formation energy without anion corrections = 3.158 eV/atom; symmetry = P4/mmm
1.0
4.971 0.000 0.000
0.000 5.586 0.000
0.000 0.000 5.586
Os Ge Cs O
1 2 1 1
Cartesian
2.486 0.000 0.000 Os
0.000 0.000 2.793 Ge
0.000 2.793 0.000 Ge
0.000 0.000 0.000 Cs
2.486 2.793 2.793 O



No. 7
ScOs3I (meta-GGA SCAN, PBEsol geometry); formation energy without anion corrections = 2.154 eV/atom; distance to the lowest polymorph of the same formula = 0 meV/atom; symmetry = Pm-3m
1.0
-2.306 -2.129 -3.553
4.132 -1.466 -1.804
-0.289 -3.974 2.568
Os I Sc
3 1 1
Cartesian
-1.153 -1.064 -1.777 Os
-0.144 -1.987 1.284 Os
2.066 -0.733 -0.902 Os
0.000 0.000 0.000 I
0.769 -3.784 -1.394 Sc



No. 8
GaB2IO (meta-GGA SCAN, PBEsol geometry); formation energy without anion corrections = 1.721 eV/atom; symmetry = P4/mmm
1.0
3.868 0.000 0.000
0.000 3.868 0.000
0.000 0.000 5.929
O B Ga I
1 2 1 1
Cartesian
1.934 1.934 2.965 O
1.934 0.000 0.000 B
0.000 1.934 0.000 B
0.000 0.000 0.000 Ga
0.000 0.000 2.965 I



| no. | magnetization (μB per formula unit) | DFT total energy (eV/atom) |
| --- | --- | --- |
| 1 | 0.00 | -20.111 |
| 2 | 0.00 | -43.517 |
| 3 | 1.52 | -25.547 |
| 4 | 0.00 | -20.706 |
| 5 | 0.00 | -52.091 |
| 6 | 2.35 | -27.661 |
| 7 | 0.00 | -51.170 |
| 8 | 0.00 | -13.114 |